Compound: Eu2Mo2O7
Source: Alexandria
Functional: PBE with a Hubbard U
Structure: relaxed

Results
D(E_F): 1.226 states/eV per atom
DFT total energy: -8.62 eV/atom
calculated volume: 13.48 Å³ per atom

a b c (Å): 7.4846 7.4846 7.4846
angles (deg): 60.00 60.00 60.00
Site moments in Bohr magnetons follow the coordinates.
Atoms (fractional coordinates):
Eu 0.6250 0.1250 0.1250  6.48
Eu 0.1250 0.6250 0.1250  6.48
Eu 0.1250 0.1250 0.6250  6.48
Eu 0.1250 0.1250 0.1250  6.48
Mo 0.1250 0.6250 0.6250  1.61
Mo 0.6250 0.1250 0.6250  1.61
Mo 0.6250 0.6250 0.1250  1.61
Mo 0.6250 0.6250 0.6250  1.61
O 0.2500 0.2500 0.2500  -0.12
O 0.0000 0.0000 0.0000  -0.12
O 0.7008 0.7008 0.2992  -0.05
O 0.2992 0.2992 0.7008  -0.05
O 0.7008 0.2992 0.7008  -0.05
O 0.2992 0.7008 0.2992  -0.05
O 0.2992 0.7008 0.7008  -0.05
O 0.7008 0.2992 0.2992  -0.05
O 0.5492 0.5492 0.9508  -0.05
O 0.9508 0.9508 0.5492  -0.05
O 0.5492 0.9508 0.5492  -0.05
O 0.9508 0.5492 0.9508  -0.05
O 0.9508 0.5492 0.5492  -0.05
O 0.5492 0.9508 0.9508  -0.05

Compound: Eu5Mo2O12
Source: Alexandria
Functional: PBE with a Hubbard U
Structure: relaxed

Results
D(E_F): 2.252 states/eV per atom
DFT total energy: -9.04 eV/atom
calculated volume: 14.69 Å³ per atom

a b c (Å): 7.0334 7.0334 7.7723
angles (deg): 73.79 73.79 49.72
Site moments in Bohr magnetons follow the coordinates.
Atoms (fractional coordinates):
Eu 0.6939 0.6939 0.6355  6.31
Eu 0.3061 0.3061 0.3645  6.31
Eu 0.6863 0.6863 0.1774  6.35
Eu 0.3137 0.3137 0.8226  6.35
Eu 0.0000 0.0000 0.5000  -6.34
Mo 0.2251 0.7749 0.0000  0.09
Mo 0.7749 0.2251 0.0000  0.09
O 0.0985 0.5893 0.0756  -0.03
O 0.5893 0.0985 0.0756  -0.03
O 0.9015 0.4107 0.9244  -0.03
O 0.4107 0.9015 0.9244  -0.03
O 0.9047 0.4080 0.4219  -0.13
O 0.4080 0.9047 0.4219  -0.13
O 0.0953 0.5920 0.5781  -0.13
O 0.5920 0.0953 0.5781  -0.13
O 0.9980 0.9980 0.1953  0.02
O 0.0020 0.0020 0.8047  0.02
O 0.4992 0.4992 0.1731  -0.02
O 0.5008 0.5008 0.8269  -0.02

Compound: Eu2MoO6
Source: Alexandria
Functional: PBE with a Hubbard U
Structure: relaxed

Results
D(E_F): 1.171 states/eV per atom
DFT total energy: -8.71 eV/atom
calculated volume: 14.02 Å³ per atom

a b c (Å): 5.5208 10.1770 10.1770
angles (deg): 68.23 75.07 75.07
Site moments in Bohr magnetons follow the coordinates.
Atoms (fractional coordinates):
Eu 0.2500 0.3653 0.6347  -6.34
Eu 0.7500 0.6347 0.3653  -6.34
Eu 0.2500 0.8885 0.1115  -6.21
Eu 0.7500 0.1115 0.8885  -6.21
Eu 0.3850 0.9451 0.7109  -6.29
Eu 0.6150 0.0549 0.2891  -6.29
Eu 0.1150 0.2891 0.0549  -6.29
Eu 0.8850 0.7109 0.9451  -6.29
Mo 0.0617 0.7979 0.5094  -0.05
Mo 0.9383 0.2021 0.4906  -0.05
Mo 0.4383 0.4906 0.2021  -0.05
Mo 0.5617 0.5094 0.7979  -0.05
O 0.0820 0.1604 0.6911  0.20
O 0.9180 0.8396 0.3089  0.20
O 0.4180 0.3089 0.8396  0.20
O 0.5820 0.6911 0.1604  0.20
O 0.3623 0.8295 0.3822  0.03
O 0.6377 0.1705 0.6178  0.03
O 0.1377 0.6178 0.1705  0.03
O 0.8623 0.3822 0.8295  0.03
O 0.1333 0.7862 0.6790  0.03
O 0.8667 0.2138 0.3210  0.03
O 0.3667 0.3210 0.2138  0.03
O 0.6333 0.6790 0.7862  0.03
O 0.2357 0.0666 0.4793  0.06
O 0.7643 0.9334 0.5207  0.06
O 0.2643 0.5207 0.9334  0.06
O 0.7357 0.4793 0.0666  0.06
O 0.0129 0.6181 0.5437  0.03
O 0.9871 0.3819 0.4563  0.03
O 0.4871 0.4563 0.3819  0.03
O 0.5129 0.5437 0.6181  0.03
O 0.5677 0.9228 0.8969  0.31
O 0.4323 0.0772 0.1031  0.31
O 0.9323 0.1031 0.0772  0.31
O 0.0677 0.8969 0.9228  0.31

Compound: RbEuMo2O8
Source: Alexandria
Functional: PBE with a Hubbard U
Structure: relaxed

Results
D(E_F): 1.230 states/eV per atom
DFT total energy: -7.39 eV/atom
calculated volume: 14.61 Å³ per atom

a b c (Å): 7.6653 7.6653 7.9251
angles (deg): 61.85 61.85 88.33
Site moments in Bohr magnetons follow the coordinates.
Atoms (fractional coordinates):
Rb 0.8052 0.1948 0.7500  0.00
Rb 0.1948 0.8052 0.2500  0.00
Eu 0.2292 0.7708 0.7500  -6.28
Eu 0.7708 0.2292 0.2500  -6.28
Mo 0.6946 0.6912 0.7636  -0.04
Mo 0.3054 0.3088 0.2364  -0.04
Mo 0.3088 0.3054 0.7364  -0.04
Mo 0.6912 0.6946 0.2636  -0.04
O 0.7644 0.6113 0.5679  0.01
O 0.2356 0.3887 0.4321  0.01
O 0.3887 0.2356 0.9321  0.01
O 0.6113 0.7644 0.0679  0.01
O 0.0743 0.3821 0.8693  0.07
O 0.9257 0.6179 0.1307  0.07
O 0.6179 0.9257 0.6307  0.07
O 0.3821 0.0743 0.3693  0.07
O 0.3711 0.5822 0.9699  0.07
O 0.6289 0.4178 0.0301  0.07
O 0.4178 0.6289 0.5301  0.07
O 0.5822 0.3711 0.4699  0.07
O 0.9432 0.7888 0.6990  0.05
O 0.0568 0.2112 0.3010  0.05
O 0.2112 0.0568 0.8010  0.05
O 0.7888 0.9432 0.1990  0.05

Q: Among the records above, which one has the highest calculated volume?
A: Eu5Mo2O12

Q: What is the formula in the third record?
A: Eu2MoO6

Q: Among the records above, which one has the highest calculated volume?
A: Eu5Mo2O12